(1)
12
Lattice="4.367 0.000 0.000 -2.183 3.782 0.000 0.000 0.000 10.679" Properties=species:S:1:pos:R:3 comment="ScZn2Rh3 | the Alexandria database | PBE | relaxed" magmom_total_mub_per_cell=0.000 relative_energy_mev_per_atom=13 e_form_ev_per_atom=-0.6560 pbc="T T T"
Sc 0.000 2.521 1.821
Sc 2.183 1.261 8.858
Zn 0.000 0.000 0.000
Zn 0.000 0.000 5.340
Zn 0.000 2.521 7.102
Zn 2.183 1.261 3.577
Rh 0.000 0.000 2.737
Rh 0.000 0.000 7.942
Rh 0.000 2.521 4.500
Rh 0.000 2.521 9.793
Rh 2.183 1.261 0.886
Rh 2.183 1.261 6.179


(2)
4
Lattice="3.280 0.000 0.000 0.000 3.280 0.000 0.000 0.000 6.648" Properties=species:S:1:pos:R:3 comment="Sc2ZnRh | the Alexandria database | PBE | relaxed" magmom_total_mub_per_cell=0.000 e_form_ev_per_atom=-0.6880 pbc="T T T"
Sc 0.000 0.000 1.571
Sc 0.000 0.000 5.077
Zn 1.640 1.640 3.324
Rh 1.640 1.640 0.000


(3)
4
Lattice="3.758 0.000 0.000 0.000 3.830 0.000 0.000 0.000 4.406" Properties=species:S:1:pos:R:3 comment="ScZn2Rh | the Alexandria database | PBE | relaxed" magmom_total_mub_per_cell=0.000 e_form_ev_per_atom=-0.4865 pbc="T T T"
Sc 0.000 0.000 0.000
Zn 0.000 1.915 2.203
Zn 1.879 0.000 2.203
Rh 1.879 1.915 0.000


(4)
5
Lattice="4.946 0.000 0.000 0.000 4.946 0.000 0.000 0.000 4.946" Properties=species:S:1:pos:R:3 comment="ScZn3Rh | the Alexandria database | PBE | relaxed" magmom_total_mub_per_cell=0.000 relative_energy_mev_per_atom=1215 e_form_ev_per_atom=1.2734 pbc="T T T"
Sc 0.000 0.000 0.000
Zn 0.000 0.000 2.473
Zn 0.000 2.473 0.000
Zn 2.473 0.000 0.000
Rh 2.473 2.473 2.473


(5)
6
Lattice="0.000 3.919 3.919 3.919 0.000 3.919 3.919 3.919 0.000" Properties=species:S:1:pos:R:3 comment="Sc4ZnRh | the Alexandria database | PBE | relaxed" magmom_total_mub_per_cell=0.001 relative_energy_mev_per_atom=776 e_form_ev_per_atom=0.2843 pbc="T T T"
Sc 2.949 2.949 2.949
Sc 4.888 4.888 2.949
Sc 4.888 2.949 4.888
Sc 2.949 4.888 4.888
Zn 0.000 0.000 0.000
Rh 5.878 5.878 5.878


(6)
6
Lattice="3.223 -3.223 0.000 3.223 3.223 0.000 -0.014 0.000 6.476" Properties=species:S:1:pos:R:3 comment="Sc4ZnRh | the Alexandria database | PBE | relaxed" magmom_total_mub_per_cell=0.002 relative_energy_mev_per_atom=230 e_form_ev_per_atom=-0.2618 pbc="T T T"
Sc 4.829 -1.613 1.569
Sc 1.603 1.613 4.906
Sc 4.829 1.613 1.569
Sc 1.603 -1.613 4.906
Zn -0.007 0.000 3.238
Rh 3.223 0.000 0.000


(7)
6
Lattice="0.000 4.017 4.017 4.017 0.000 4.017 4.017 4.017 0.000" Properties=species:S:1:pos:R:3 comment="ZrSc4Rh | the Alexandria database | PBE | relaxed" magmom_total_mub_per_cell=0.231 relative_energy_mev_per_atom=646 e_form_ev_per_atom=0.3093 pbc="T T T"
Zr 0.000 0.000 0.000
Sc 3.010 3.010 3.010
Sc 5.025 5.025 3.010
Sc 5.025 3.010 5.025
Sc 3.010 5.025 5.025
Rh 6.026 6.026 6.026


(8)
3
Lattice="-1.651 1.651 5.305 1.651 -1.651 5.305 1.651 1.651 -5.305" Properties=species:S:1:pos:R:3 comment="ZrScRh | the Alexandria database | PBE | relaxed" magmom_total_mub_per_cell=0.032 relative_energy_mev_per_atom=83 e_form_ev_per_atom=-0.5462 pbc="T T T"
Zr 0.000 0.000 0.000
Sc 0.000 0.000 3.207
Rh 0.000 0.000 6.883